A plane-wave DFT calculation with PBE was carried out for an optimized crystal structure of NiGePd.

Cell: 3.6452 3.6452 6.2938 Å, 90.00 90.00 90.00°
With the nearest neighbours (Å) after each atom.
Space group P4/nmm (No. 129, origin choice 2)
One atom of each set of equivalent atoms:
Ni 0.2500 0.7500 0.0000 (multiplicity 2)  4 Ge 2.39, 4 Ni 2.58
Ge 0.2500 0.2500 0.2452 (multiplicity 2)  4 Ni 2.39, 5 Pd 2.49-2.67
Pd 0.2500 0.2500 0.6415 (multiplicity 2)  5 Ge 2.49-2.67

The calculation puts the final energy at -16.77 eV per formula unit.

A plane-wave DFT calculation with PBE was carried out for an optimized crystal structure of Ni2Ge2PdPt.

Cell: 3.6543 3.6543 6.2576 Å, 90.00 90.00 90.00°
With the nearest neighbours (Å) after each atom.
Space group P4mm (No. 99)
One atom of each set of equivalent atoms:
Ni 0.0000 0.5000 0.0000 (multiplicity 2)  4 Ge 2.39-2.40, 4 Ni 2.58
Ge 0.0000 0.0000 0.2484 (multiplicity 1)  4 Ni 2.40, 1 Pd 2.46, 4 Pt 2.67
Ge 0.5000 0.5000 0.7534 (multiplicity 1)  4 Ni 2.39, 1 Pt 2.48, 4 Pd 2.68
Pd 0.0000 0.0000 0.6419 (multiplicity 1)  5 Ge 2.46-2.68
Pt 0.5000 0.5000 0.3578 (multiplicity 1)  5 Ge 2.48-2.67

The calculation puts the final energy at -34.22 eV per formula unit.

A plane-wave DFT calculation with PBE was carried out for an optimized crystal structure of ScNiGePd.

Cell: 6.2349 6.2349 6.2349 Å, 90.00 90.00 90.00°
With the nearest neighbours (Å) after each atom.
Space group F-43m (No. 216)
One atom of each set of equivalent atoms:
Sc 0.0000 0.0000 0.0000 (multiplicity 4)  4 Ni 2.70, 4 Pd 2.70
Ni 0.2500 0.2500 0.7500 (multiplicity 4)  4 Ge 2.70, 4 Sc 2.70
Ge 0.0000 0.0000 0.5000 (multiplicity 4)  4 Ni 2.70, 4 Pd 2.70
Pd 0.2500 0.2500 0.2500 (multiplicity 4)  4 Ge 2.70, 4 Sc 2.70

For the distance to the lowest polymorph of the same formula, the calculation gives 0 kJ/mol of formula units.

A plane-wave DFT calculation with PBE was carried out for an optimized crystal structure of ScNiGePd.

Cell: 6.2811 6.2811 6.2811 Å, 90.00 90.00 90.00°
With the nearest neighbours (Å) after each atom.
Space group F-43m (No. 216)
One atom of each set of equivalent atoms:
Sc 0.0000 0.0000 0.0000 (multiplicity 4)  4 Ge 2.72, 4 Pd 2.72
Ni 0.0000 0.0000 0.5000 (multiplicity 4)  4 Ge 2.72, 4 Pd 2.72
Ge 0.2500 0.2500 0.2500 (multiplicity 4)  4 Ni 2.72, 4 Sc 2.72
Pd 0.2500 0.2500 0.7500 (multiplicity 4)  4 Sc 2.72, 4 Ni 2.72

For the distance to the lowest polymorph of the same formula, the calculation gives 58 kJ/mol of formula units.

A plane-wave DFT calculation with PBE was carried out for an optimized crystal structure of Si2Ni3GePd3.

Cell: 6.7674 6.7674 3.0205 Å, 90.00 90.00 120.00°
With the nearest neighbours (Å) after each atom.
Space group P-62m (No. 189)
One atom of each set of equivalent atoms:
Si 0.3333 0.6667 0.0000 (multiplicity 2)  3 Pd 2.39, 6 Ni 2.60
Ni 0.0000 0.6223 0.5000 (multiplicity 3)  1 Ge 2.56, 4 Si 2.60, 6 Pd 2.67-2.78
Ge 0.0000 0.0000 0.5000 (multiplicity 1)  6 Pd 2.51, 3 Ni 2.56
Pd 0.0000 0.2968 0.0000 (multiplicity 3)  2 Si 2.39, 2 Ge 2.51, 2 Ni 2.67

The calculation puts the final energy at -51.67 eV per formula unit.

A plane-wave DFT calculation with PBE was carried out for an optimized crystal structure of Sm2NiGe4Pd.

Cell: 4.3120 4.2660 16.9819 Å, 90.00 90.00 90.00°
With the nearest neighbours (Å) after each atom.
Space group Amm2 (No. 38)
One atom of each set of equivalent atoms:
Sm 0.0000 0.0000 0.0000 (multiplicity 2)  10 Ge 3.14-3.23, 4 Ni 3.27
Sm 0.5000 0.0000 0.2138 (multiplicity 2)  10 Ge 3.27-3.34, 4 Pd 3.27, 1 Ni 3.63
Ni 0.5000 0.0000 0.4275 (multiplicity 2)  5 Ge 2.33-2.41
Ge 0.0000 0.0000 0.3643 (multiplicity 2)  2 Ni 2.41, 2 Pd 2.51
Ge 0.0000 0.0000 0.6425 (multiplicity 2)  1 Pd 2.44, 2 Ge 2.53
Ge 0.5000 0.0000 0.5646 (multiplicity 2)  1 Ni 2.33, 2 Ge 2.53
Ge 0.5000 0.0000 0.8629 (multiplicity 2)  2 Ni 2.40, 2 Pd 2.52
Pd 0.0000 0.0000 0.7862 (multiplicity 2)  5 Ge 2.44-2.52

The calculation puts the final energy at -44.66 eV per formula unit.

A plane-wave DFT calculation with PBE was carried out for an optimized crystal structure of TcNiGePd.

Cell: 6.0682 6.0682 6.0682 Å, 90.00 90.00 90.00°
With the nearest neighbours (Å) after each atom.
Space group F-43m (No. 216)
One atom of each set of equivalent atoms:
Tc 0.0000 0.0000 0.0000 (multiplicity 4)  4 Ge 2.63, 4 Pd 2.63
Ni 0.0000 0.0000 0.5000 (multiplicity 4)  4 Ge 2.63, 4 Pd 2.63
Ge 0.2500 0.2500 0.2500 (multiplicity 4)  4 Tc 2.63, 4 Ni 2.63
Pd 0.2500 0.2500 0.7500 (multiplicity 4)  4 Tc 2.63, 4 Ni 2.63

For the distance to the lowest polymorph of the same formula, the calculation gives 0 kJ/mol of formula units.

A plane-wave DFT calculation with PBE was carried out for an optimized crystal structure of NiGePdW.

Cell: 6.1425 6.1425 6.1425 Å, 90.00 90.00 90.00°
With the nearest neighbours (Å) after each atom.
Space group F-43m (No. 216)
One atom of each set of equivalent atoms:
Ni 0.0000 0.0000 0.0000 (multiplicity 4)  4 Ge 2.66, 4 W 2.66
Ge 0.2500 0.2500 0.7500 (multiplicity 4)  4 Ni 2.66, 4 Pd 2.66
Pd 0.0000 0.0000 0.5000 (multiplicity 4)  4 W 2.66, 4 Ge 2.66
W 0.2500 0.2500 0.2500 (multiplicity 4)  4 Ni 2.66, 4 Pd 2.66

The calculation puts the final energy at -27.15 eV per formula unit.

A plane-wave DFT calculation with PBE was carried out for an optimized crystal structure of YNiGePd.

Cell: 6.4811 6.4811 6.4811 Å, 90.00 90.00 90.00°
With the nearest neighbours (Å) after each atom.
Space group F-43m (No. 216)
One atom of each set of equivalent atoms:
Y 0.0000 0.0000 0.0000 (multiplicity 4)  4 Ni 2.81, 4 Pd 2.81
Ni 0.2500 0.2500 0.7500 (multiplicity 4)  4 Y 2.81, 4 Ge 2.81
Ge 0.0000 0.0000 0.5000 (multiplicity 4)  4 Ni 2.81, 4 Pd 2.81
Pd 0.2500 0.2500 0.2500 (multiplicity 4)  4 Ge 2.81, 4 Y 2.81

The calculation puts the final energy at -24.03 eV per formula unit.

A plane-wave DFT calculation with PBE was carried out for an optimized crystal structure of YNiGe2Pd.

Cell: 4.1463 4.1463 10.1268 Å, 90.00 90.00 90.00°
With the nearest neighbours (Å) after each atom.
Space group I-4m2 (No. 119)
One atom of each set of equivalent atoms:
Y 0.0000 0.0000 0.0000 (multiplicity 2)  8 Ge 3.18, 4 Ni 3.27, 4 Pd 3.27
Ni 0.0000 0.5000 0.7500 (multiplicity 2)  4 Ge 2.45
Ge 0.0000 0.0000 0.3781 (multiplicity 4)  2 Ni 2.45, 2 Pd 2.45, 1 Ge 2.47
Pd 0.0000 0.5000 0.2500 (multiplicity 2)  4 Ge 2.45

The calculation puts the final energy at -30.08 eV per formula unit.

A plane-wave DFT calculation with PBE was carried out for an optimized crystal structure of ZnNiGePd.

Cell: 6.0426 6.0426 6.0426 Å, 90.00 90.00 90.00°
With the nearest neighbours (Å) after each atom.
Space group F-43m (No. 216)
One atom of each set of equivalent atoms:
Zn 0.0000 0.0000 0.0000 (multiplicity 4)  4 Ni 2.62, 4 Pd 2.62
Ni 0.2500 0.2500 0.7500 (multiplicity 4)  4 Ge 2.62, 4 Zn 2.62
Ge 0.0000 0.0000 0.5000 (multiplicity 4)  4 Ni 2.62, 4 Pd 2.62
Pd 0.2500 0.2500 0.2500 (multiplicity 4)  4 Ge 2.62, 4 Zn 2.62

The calculation puts the final energy at -17.80 eV per formula unit.

A plane-wave DFT calculation with PBE was carried out for an optimized crystal structure of ZrNiGePd.

Cell: 6.3146 6.3146 6.3146 Å, 90.00 90.00 90.00°
With the nearest neighbours (Å) after each atom.
Space group F-43m (No. 216)
One atom of each set of equivalent atoms:
Zr 0.0000 0.0000 0.0000 (multiplicity 4)  4 Ni 2.73, 4 Pd 2.73
Ni 0.2500 0.2500 0.7500 (multiplicity 4)  4 Ge 2.73, 4 Zr 2.73
Ge 0.0000 0.0000 0.5000 (multiplicity 4)  4 Ni 2.73, 4 Pd 2.73
Pd 0.2500 0.2500 0.2500 (multiplicity 4)  4 Zr 2.73, 4 Ge 2.73

The calculation puts the final energy at -26.02 eV per formula unit.